No. 1
FeHgPb2F | PBE+U | optimized geometry

```
FeHgPb2F
1.0
5.723 0.000 0.000
0.000 4.535 0.000
0.000 0.000 5.723
Pb F Hg Fe
2 1 1 1
direct
0.000 0.000 0.500
0.500 0.000 0.000
0.000 0.500 0.000
0.000 0.000 0.000
0.500 0.500 0.500
```

ρ: 7.714 Mg/m³
excess energy over the best structure of this formula in the dataset: 812 meV/atom
crystal system: tetragonal
magnetic moment: 0.6472 μB per atom
space-group type: P4/mmm (123)

***

No. 2
Al2CoO4 | PBE+U | optimized geometry

```
Al2CoO4
1.0
5.782 0.000 0.000
-2.891 5.008 0.000
0.000 0.000 14.145
Al Co O
12 6 24
direct
0.667 0.333 0.915
0.164 0.329 0.794
0.164 0.836 0.794
0.671 0.836 0.794
0.833 0.667 0.457
0.000 0.000 0.624
0.833 0.167 0.457
0.333 0.167 0.457
0.498 0.997 0.125
0.667 0.333 0.291
0.498 0.502 0.125
0.003 0.502 0.125
0.000 0.000 0.017
0.667 0.333 0.666
0.333 0.667 0.961
0.333 0.667 0.586
0.333 0.667 0.336
0.000 0.000 0.246
0.006 0.503 0.870
0.333 0.667 0.732
0.497 0.503 0.870
0.497 0.994 0.870
0.853 0.706 0.712
0.705 0.852 0.535
0.853 0.147 0.712
0.000 0.000 0.386
0.148 0.852 0.535
0.000 0.000 0.861
0.148 0.295 0.535
0.294 0.147 0.712
0.375 0.188 0.201
0.520 0.040 0.378
0.520 0.480 0.378
0.667 0.333 0.045
0.667 0.333 0.526
0.812 0.188 0.201
0.812 0.625 0.201
0.960 0.480 0.378
0.184 0.368 0.050
0.184 0.816 0.050
0.333 0.667 0.195
0.632 0.816 0.050
```

ρ: 4.303 Mg/m³
excess energy over the best structure of this formula in the dataset: 92 meV/atom
crystal system: trigonal
magnetic moment: 0.1972 μB per atom
space-group type: P3m1 (156)

***

no.,calculated total energy (eV per cell)
1,-12.85
2,-295.55